No. 1
Ac2Zn4Ga3Sn (PBE, relaxed); E_form = -0.46 eV/atom; magnetic moment = 0.00 μB/atom
1.0
4.5138 0.0000 0.0000
0.0000 4.5138 0.0000
0.0000 0.0000 10.8031
Ac Zn Ga Sn
2 4 3 1
direct
0.0000 0.5000 0.2367
0.5000 0.0000 0.7633
0.0000 0.0000 0.0000
0.0000 0.5000 0.6444
0.5000 0.0000 0.3556
0.5000 0.5000 0.0000
0.0000 0.5000 0.8763
0.5000 0.0000 0.1237
0.5000 0.5000 0.5000
0.0000 0.0000 0.5000



No. 2
SrAc2Ga6 (PBE, relaxed); E above lowest polymorph = 214 meV per atom; E_form = -0.38 eV/atom; magnetic moment = 0.00 μB/atom
1.0
-2.3917 3.7629 7.0570
2.3917 -3.7629 7.0570
2.3917 3.7629 -7.0570
Sr Ac Ga
1 2 6
direct
0.0000 0.0000 0.0000
0.3622 0.8622 0.5000
0.6378 0.1378 0.5000
0.0180 0.3312 0.6868
0.3214 0.5000 0.8214
0.3556 0.6688 0.6868
0.6444 0.3312 0.3132
0.6786 0.5000 0.1786
0.9820 0.6688 0.3132



Question: What is the E_form in the second record?
Answer: -0.38 eV/atom